No. 1
Computed, not measured: CeNbGe2Ir after structural relaxation at the PBE level of DFT.

Output
The calculation puts the energy relative to the elements at -0.58 eV/atom. The space group is I-4m2.

Unit cell a=4.1580 b=4.1580 c=6.3390 alpha=109.15 beta=109.15 gamma=90.00
Closest atoms and distances in Å follow each position.
Element x y z (fractional)
1 Ce 0.0000 0.0000 0.0000  8 Ge 3.20, 4 Nb 3.49, 4 Ir 3.49
2 Ir 0.2500 0.7500 0.5000  4 Ge 2.59
3 Ge 0.6127 0.6127 0.2254  1 Ge 2.53, 2 Nb 2.59, 2 Ir 2.59
4 Ge 0.3873 0.3873 0.7746  1 Ge 2.53, 2 Nb 2.59, 2 Ir 2.59
5 Nb 0.7500 0.2500 0.5000  4 Ge 2.59

***

No. 2
Computed, not measured: CsHfAlO4 after structural relaxation at the PBE level of DFT.

Output
The uncorrected formation energy is -2839 meV per atom. The space group is P2_1/m.

Unit cell a=5.4694 b=5.7178 c=9.2900 alpha=90.00 beta=123.15 gamma=90.00
Closest atoms and distances in Å follow each position.
Element x y z (fractional)
1 O 0.9736 0.9761 0.3548  1 Al 1.80
2 O 0.9736 0.5239 0.3548  1 Al 1.80
3 O 0.5362 0.7500 0.5667  1 Al 1.76
4 O 0.4638 0.2500 0.4333  1 Al 1.76
5 O 0.0264 0.4761 0.6452  1 Al 1.80
6 O 0.6202 0.2500 0.7544  1 Al 1.76
7 O 0.3798 0.7500 0.2456  1 Al 1.76
8 O 0.0264 0.0239 0.6452  1 Al 1.80
9 Hf 0.7956 0.7500 0.4719  6 O 2.04-2.23
10 Hf 0.2044 0.2500 0.5281  6 O 2.04-2.23
11 Al 0.7906 0.2500 0.6389  4 O 1.76-1.80
12 Al 0.2094 0.7500 0.3611  4 O 1.76-1.80
13 Cs 0.3614 0.2500 0.1001  3 O 2.83-3.14
14 Cs 0.6386 0.7500 0.8999  3 O 2.83-3.14

***

What is the formula in the first record? CeNbGe2Ir